1.
K2CuBr3 after structural relaxation, computed with PBEsol.

Calculated values
Formation energy from raw total energies: -1.231 eV per atom
D(E_F): 0.00 states/eV/f.u.
V: 28.9 Å³/atom

a = 4.2387 Å, b = 12.4971 Å, c = 13.0874 Å
α = 90.00°, β = 90.00°, γ = 90.00°
Positions (direct):
Cu (0.2500, 0.7556, 0.3038)
Cu (0.7500, 0.2444, 0.6962)
Cu (0.7500, 0.7444, 0.8038)
Cu (0.2500, 0.2556, 0.1962)
K (0.2500, 0.6768, 0.0160)
K (0.7500, 0.9874, 0.1775)
K (0.7500, 0.8232, 0.5160)
K (0.7500, 0.3232, 0.9840)
K (0.2500, 0.5126, 0.6775)
K (0.7500, 0.4874, 0.3225)
K (0.2500, 0.1768, 0.4840)
K (0.2500, 0.0126, 0.8225)
Br (0.7500, 0.8674, 0.9474)
Br (0.2500, 0.6326, 0.4474)
Br (0.7500, 0.0591, 0.6383)
Br (0.2500, 0.1326, 0.0526)
Br (0.7500, 0.2250, 0.2885)
Br (0.7500, 0.7250, 0.2115)
Br (0.2500, 0.9409, 0.3617)
Br (0.7500, 0.5591, 0.8617)
Br (0.2500, 0.2750, 0.7885)
Br (0.2500, 0.7750, 0.7115)
Br (0.2500, 0.4409, 0.1383)
Br (0.7500, 0.3674, 0.5526)

***

2.
K2TlCuBr6 after structural relaxation, computed with PBEsol.

Calculated values
Formation energy from raw total energies: -0.929 eV per atom
D(E_F): 3.09 states/eV/f.u.
V: 30.4 Å³/atom

a = 7.5496 Å, b = 7.5496 Å, c = 7.5496 Å
α = 60.00°, β = 60.00°, γ = 60.00°
Positions (direct):
Br (0.7367, 0.2633, 0.7367)
Br (0.2633, 0.7367, 0.2633)
Br (0.7367, 0.2633, 0.2633)
Br (0.2633, 0.7367, 0.7367)
Br (0.7367, 0.7367, 0.2633)
Br (0.2633, 0.2633, 0.7367)
K (0.7500, 0.7500, 0.7500)
K (0.2500, 0.2500, 0.2500)
Tl (0.0000, 0.0000, 0.0000)
Cu (0.5000, 0.5000, 0.5000)

***

3.
KZr2CuBr after structural relaxation, computed with PBEsol.

Calculated values
Formation energy from raw total energies: 0.793 eV per atom
D(E_F): 3.26 states/eV/f.u.
V: 27.3 Å³/atom

a = 4.9535 Å, b = 4.9535 Å, c = 5.5656 Å
α = 90.00°, β = 90.00°, γ = 90.00°
Positions (direct):
Br (0.0000, 0.0000, 0.0000)
Zr (0.0000, 0.5000, 0.0000)
Zr (0.5000, 0.0000, 0.0000)
K (0.0000, 0.0000, 0.5000)
Cu (0.5000, 0.5000, 0.5000)